Entry 1:
Crystalline BaCa2HgPt at its relaxed geometry. Source: Alexandria via LeMat-Bulk, functional PBE-GGA.

Computed properties:
Polymorph energy (0 for the lowest one)   94 meV/atom
SG   P4/mmm, No. 123
DOS at the Fermi energy   5.24 states/eV/f.u.
Crystal system   tetragonal

a = 5.5421 Å, b = 5.5421 Å, c = 5.5183 Å
α = 90.00°, β = 90.00°, γ = 90.00°
Last column: nearest neighbours and their distance in Å.
Fractional coordinates of all 5 atoms:
Ba (0.0000, 0.0000, 0.0000)  8 Ca 3.91, 4 Hg 3.92
Ca (0.0000, 0.5000, 0.5000)  2 Pt 2.77
Ca (0.5000, 0.0000, 0.5000)  2 Pt 2.77
Hg (0.5000, 0.5000, 0.0000)  2 Pt 2.76
Pt (0.5000, 0.5000, 0.5000)  2 Hg 2.76, 4 Ca 2.77

=====

Entry 2:
Crystalline CsCeS3 at its relaxed geometry. Source: Alexandria via LeMat-Bulk, functional PBE-GGA.

Computed properties:
Polymorph energy (0 for the lowest one)   172 meV/atom
SG   R-3m, No. 166
Energy relative to the elements, uncorrected   -1.27 eV per atom
DOS at the Fermi energy   5.65 states/eV/f.u.
Crystal system   trigonal

a = 8.5802 Å, b = 8.5802 Å, c = 8.5802 Å
α = 50.50°, β = 50.50°, γ = 50.50°
Last column: nearest neighbours and their distance in Å.
Fractional coordinates of all 10 atoms:
Cs (0.1232, 0.1232, 0.1232)  9 S 3.69-3.82
Cs (0.8768, 0.8768, 0.8768)  9 S 3.69-3.82
Ce (0.3342, 0.3342, 0.3342)  6 S 2.69-2.70
Ce (0.6658, 0.6658, 0.6658)  6 S 2.69-2.70
S (0.0723, 0.5758, 0.5758)  2 Ce 2.69-2.70
S (0.4242, 0.4242, 0.9277)  2 Ce 2.69-2.70
S (0.4242, 0.9277, 0.4242)  2 Ce 2.69-2.70
S (0.5758, 0.0723, 0.5758)  2 Ce 2.69-2.70
S (0.5758, 0.5758, 0.0723)  2 Ce 2.69-2.70
S (0.9277, 0.4242, 0.4242)  2 Ce 2.69-2.70

=====

| no. | uncorrected energy (eV per atom) |
| --- | --- |
| 1 | -2.87 |
| 2 | -5.11 |